No. 1
EuAgO2 | SCAN | single point on PBEsol structure

Calculated total energy in eV/cell: -105.4
Raw formation energy in eV per atom: -1.965
SG: C2/m

Unit cell a=3.612 b=3.611 c=6.425 alpha=106.10 beta=90.00 gamma=120.00
Atoms (fractional coordinates):
1 O 0.111 0.222 0.330
2 O 0.889 0.778 0.670
3 Ag 0.000 0.000 0.000
4 Eu 0.500 0.000 0.500

=====

No. 2
Nd3Ti4O12 | SCAN | single point on PBEsol structure

Energy relative to the lowest polymorph listed for this composition in eV per atom: 0.0379
Calculated total energy in eV/cell: -336.7
Raw formation energy in eV per atom: -3.530
SG: Amm2

Unit cell a=5.461 b=5.461 c=7.674 alpha=90.00 beta=90.00 gamma=90.62
Atoms (fractional coordinates):
1 O 0.981 0.019 0.199
2 Ti 0.747 0.748 0.745
3 Ti 0.252 0.253 0.255
4 O 0.486 0.988 0.228
5 Ti 0.747 0.748 0.255
6 O 0.690 0.699 0.000
7 O 0.541 0.459 0.289
8 O 0.486 0.988 0.772
9 O 0.541 0.459 0.711
10 O 0.981 0.019 0.801
11 O 0.301 0.310 0.000
12 O 0.012 0.514 0.772
13 O 0.196 0.225 0.500
14 Nd 0.240 0.760 0.000
15 O 0.775 0.804 0.500
16 Nd 0.737 0.263 0.000
17 O 0.012 0.514 0.228
18 Nd 0.763 0.237 0.500
19 Ti 0.252 0.253 0.745

=====

No. 3
Li9Cr4B8O24 | SCAN | single point on PBEsol structure

Calculated total energy in eV/cell: -413.1
Raw formation energy in eV per atom: -2.425
SG: P1

Unit cell a=5.841 b=8.817 c=9.291 alpha=65.79 beta=88.47 gamma=88.78
Atoms (fractional coordinates):
1 O 0.958 0.669 0.068
2 B 0.838 0.547 0.191
3 Li 0.255 0.599 0.016
4 Li 0.223 0.130 0.565
5 O 0.223 0.596 0.812
6 O 0.437 0.320 0.442
7 B 0.334 0.447 0.311
8 B 0.280 0.949 0.920
9 O 0.784 0.085 0.921
10 Li 0.775 0.382 0.997
11 B 0.783 0.053 0.575
12 B 0.673 0.550 0.687
13 O 0.722 0.906 0.693
14 Li 0.538 0.708 0.341
15 O 0.586 0.687 0.561
16 Cr 0.044 0.763 0.222
17 Li 0.922 0.734 0.840
18 O 0.260 0.908 0.586
19 Li 0.430 0.299 0.670
20 O 0.060 0.320 0.928
21 Li 0.759 0.385 0.484
22 Li 0.794 0.865 0.423
23 B 0.225 0.933 0.430
24 O 0.158 0.423 0.667
25 O 0.109 0.821 0.394
26 O 0.818 0.587 0.321
27 O 0.287 0.604 0.297
28 O 0.901 0.175 0.597
29 Cr 0.465 0.765 0.725
30 O 0.688 0.580 0.823
31 Cr 0.968 0.231 0.775
32 O 0.212 0.937 0.069
33 O 0.370 0.816 0.899
34 O 0.294 0.083 0.318
35 B 0.157 0.455 0.801
36 O 0.316 0.401 0.187
37 O 0.764 0.403 0.191
38 Li 0.247 0.151 0.093
39 O 0.765 0.903 0.198
40 B 0.718 0.053 0.077
41 Cr 0.540 0.231 0.279
42 O 0.600 0.181 0.096
43 O 0.244 0.102 0.792
44 O 0.711 0.396 0.687
45 O 0.736 0.077 0.421

=====

No. 4
Mn3Cd2O8 | SCAN | single point on PBEsol structure

Calculated total energy in eV/cell: -190.4
Raw formation energy in eV per atom: -1.922
SG: C2/m

Unit cell a=4.919 b=5.792 c=6.120 alpha=118.24 beta=106.75 gamma=90.00
Atoms (fractional coordinates):
1 O 0.111 0.120 0.795
2 Cd 0.838 0.279 0.557
3 O 0.402 0.097 0.194
4 O 0.889 0.325 0.205
5 Mn 0.500 0.258 0.000
6 O 0.452 0.603 0.206
7 O 0.889 0.880 0.205
8 Cd 0.162 0.721 0.443
9 O 0.111 0.675 0.795
10 O 0.598 0.903 0.806
11 O 0.548 0.397 0.794
12 Mn 0.000 0.000 0.000
13 Mn 0.500 0.742 0.000

=====

No. 5
Li2ZrMo | SCAN | single point on PBEsol structure

Formation energy in eV/atom: 0.47
Energy relative to the lowest polymorph listed for this composition in eV per atom: 0.1567
Calculated total energy in eV/cell: -68.5
SG: Imm2

Unit cell a=2.798 b=4.958 c=5.337 alpha=117.68 beta=105.20 gamma=90.00
Atoms (fractional coordinates):
1 Mo 0.489 0.489 0.977
2 Li 0.024 0.024 0.049
3 Li 0.731 0.231 0.461
4 Zr 0.256 0.756 0.513

=====

No. 6
Sc2ZnAs | SCAN | single point on PBEsol structure

Formation energy in eV/atom: -0.91
Energy relative to the lowest polymorph listed for this composition in eV per atom: 0.0000
Calculated total energy in eV/cell: -65.8
SG: Amm2

Unit cell a=3.783 b=3.868 c=5.400 alpha=110.99 beta=90.00 gamma=90.00
Atoms (fractional coordinates):
1 Sc 0.000 0.268 0.536
2 Zn 0.000 0.539 0.077
3 As 0.500 0.709 0.419
4 Sc 0.500 0.984 0.968